VASP calculation (PBE-GGA) on a geometry-optimized LaNi3P structure.

a = 4.350 Å, b = 4.350 Å, c = 4.350 Å
α = 90.00°, β = 90.00°, γ = 90.00°
Fractional coordinates of all 5 atoms:
Ni  0.000  0.500  0.000
Ni  0.000  0.000  0.500
Ni  0.500  0.000  0.000
La  0.500  0.500  0.500
P  0.000  0.000  0.000

- calculated total energy (eV/f.u.) = -30.1
- relative energy among the computed polymorphs (meV/atom) = 0.0
- DFT formation energy (eV per atom) = -0.49

***

VASP calculation (PBE-GGA) on a geometry-optimized LaNiP2 structure.

a = 3.330 Å, b = 3.330 Å, c = 6.249 Å
α = 90.00°, β = 90.00°, γ = 90.00°
Fractional coordinates of all 4 atoms:
P  0.000  0.000  0.922
P  0.000  0.000  0.578
Ni  0.500  0.500  0.750
La  0.500  0.500  0.250

- calculated total energy (eV/f.u.) = -23.0
- DFT formation energy (eV per atom) = -0.36

***

VASP calculation (PBE-GGA) on a geometry-optimized LaNiP2 structure.

a = 4.041 Å, b = 4.041 Å, c = 5.365 Å
α = 112.13°, β = 112.13°, γ = 89.99°
Fractional coordinates of all 4 atoms:
P  0.595  0.254  0.974
P  0.848  0.508  0.482
La  0.221  0.881  0.228
Ni  0.471  0.631  0.728

- calculated total energy (eV/f.u.) = -25.6
- DFT formation energy (eV per atom) = -1.01

***

VASP calculation (PBE-GGA) on a geometry-optimized LaNiP2 structure.

a = 3.773 Å, b = 4.151 Å, c = 5.111 Å
α = 90.00°, β = 90.00°, γ = 90.00°
Fractional coordinates of all 4 atoms:
P  0.000  0.750  0.515
P  0.000  0.750  0.985
Ni  0.500  0.750  0.750
La  0.500  0.250  0.250

- calculated total energy (eV/f.u.) = -25.1
- DFT formation energy (eV per atom) = -0.90

***

VASP calculation (PBE-GGA) on a geometry-optimized La2NiP structure.

a = 5.115 Å, b = 5.115 Å, c = 5.115 Å
α = 125.88°, β = 113.09°, γ = 91.24°
Fractional coordinates of all 4 atoms:
P  0.000  0.500  0.500
Ni  0.500  0.000  0.500
La  0.741  0.741  0.000
La  0.259  0.259  0.000

- calculated total energy (eV/f.u.) = -23.7
- DFT formation energy (eV per atom) = -0.66

***

VASP calculation (PBE-GGA) on a geometry-optimized La2NiP structure.

a = 3.639 Å, b = 3.640 Å, c = 7.038 Å
α = 90.42°, β = 90.00°, γ = 90.00°
Fractional coordinates of all 4 atoms:
La  0.000  0.998  0.744
La  0.000  0.002  0.256
Ni  0.500  0.500  0.000
P  0.500  0.500  0.500

- calculated total energy (eV/f.u.) = -23.9
- DFT formation energy (eV per atom) = -0.71

***

VASP calculation (PBE-GGA) on a geometry-optimized LaNi4P structure.

a = 4.983 Å, b = 4.983 Å, c = 4.983 Å
α = 60.00°, β = 60.00°, γ = 60.00°
Fractional coordinates of all 6 atoms:
Ni  0.376  0.872  0.376
Ni  0.376  0.376  0.872
Ni  0.376  0.376  0.376
Ni  0.872  0.376  0.376
P  0.750  0.750  0.750
La  0.000  0.000  0.000

- calculated total energy (eV/f.u.) = -34.4
- DFT formation energy (eV per atom) = -0.15

***

VASP calculation (PBE-GGA) on a geometry-optimized LaNiP2 structure.

a = 3.471 Å, b = 3.471 Å, c = 6.138 Å
α = 90.00°, β = 90.00°, γ = 90.00°
Fractional coordinates of all 4 atoms:
Ni  0.500  0.500  0.862
P  0.000  0.000  0.959
P  0.500  0.500  0.216
La  0.000  0.000  0.462

- calculated total energy (eV/f.u.) = -22.9
- DFT formation energy (eV per atom) = -0.34

***

VASP calculation (PBE-GGA) on a geometry-optimized LaNiP2 structure.

a = 4.892 Å, b = 4.892 Å, c = 5.953 Å
α = 52.43°, β = 52.43°, γ = 46.46°
Fractional coordinates of all 4 atoms:
La  0.250  0.250  0.250
P  0.420  0.420  0.580
P  0.080  0.080  0.920
Ni  0.750  0.750  0.750

- calculated total energy (eV/f.u.) = -25.0
- DFT formation energy (eV per atom) = -0.87

***

VASP calculation (PBE-GGA) on a geometry-optimized La3Ni2P4 structure.

a = 4.070 Å, b = 6.406 Å, c = 8.487 Å
α = 116.24°, β = 90.00°, γ = 108.52°
Fractional coordinates of all 9 atoms:
P  0.894  0.788  0.595
P  0.689  0.379  0.110
P  0.311  0.621  0.890
P  0.106  0.212  0.405
Ni  0.688  0.375  0.380
Ni  0.312  0.625  0.620
La  0.000  0.000  0.000
La  0.370  0.740  0.284
La  0.630  0.260  0.716

- calculated total energy (eV/f.u.) = -57.9
- DFT formation energy (eV per atom) = -1.10